No. 1
This record from the Alexandria database describes a geometry-optimized SiMo2Pt structure. The functional is PBE.

abc: 3.267 3.267 5.709
angles: 90.00 90.00 90.00
Element x y z (fractional)
Pt 0.000 0.000 0.532
Si 0.500 0.500 0.736
Mo 0.000 0.000 0.009
Mo 0.500 0.500 0.223

Properties
As for the size of the total moment: 0.000 μB/atom. As for the space group: P4mm, No. 99.

No. 2
This record from the Alexandria database describes a geometry-optimized Si2MoPt structure. The functional is PBE.

abc: 8.117 8.117 8.117
angles: 20.68 20.68 20.68
Element x y z (fractional)
Si 0.501 0.501 0.501
Si 0.999 0.999 0.999
Pt 0.750 0.750 0.750
Mo 0.250 0.250 0.250

Properties
As for the size of the total moment: 0.006 μB/atom. As for the space group: R-3m, No. 166.

no.,formation energy (no corrections) (eV/atom)
1,-0.16
2,-0.19